No. 1
VASP calculation (GGA-PBE) on a geometry-optimized VNi2HW structure.

Calculated values
The energy above the most stable polymorph in this dataset is 0.030 eV per atom. Its space-group type is No. 123. Its crystal system is tetragonal.

a = 3.622 Å, b = 3.622 Å, c = 4.041 Å
α = 90.00°, β = 90.00°, γ = 90.00°
Fractional positions:
V  0.500  0.500  0.500
H  0.000  0.000  0.000
Ni  0.000  0.500  0.000
Ni  0.500  0.000  0.000
W  0.000  0.000  0.500

=====

No. 2
VASP calculation (GGA-PBE) on a geometry-optimized VNi2HW structure.

Calculated values
The energy above the most stable polymorph in this dataset is 0.000 eV per atom. Its space-group type is No. 123. Its crystal system is tetragonal.

a = 3.620 Å, b = 3.620 Å, c = 3.999 Å
α = 90.00°, β = 90.00°, γ = 90.00°
Fractional positions:
Ni  0.000  0.500  0.000
Ni  0.500  0.000  0.000
W  0.500  0.500  0.500
H  0.000  0.000  0.000
V  0.000  0.000  0.500

=====

No. 3
VASP calculation (GGA-PBE) on a geometry-optimized V2ZnNiH structure.

Calculated values
The energy above the most stable polymorph in this dataset is 0.074 eV per atom. Its space-group type is No. 123. Its crystal system is tetragonal.

a = 3.600 Å, b = 3.600 Å, c = 4.143 Å
α = 90.00°, β = 90.00°, γ = 90.00°
Fractional positions:
V  0.500  0.000  0.000
V  0.000  0.500  0.000
Zn  0.000  0.000  0.500
Ni  0.500  0.500  0.500
H  0.000  0.000  0.000